1.
Below is an optimized crystal structure of Sc2CuCl, with properties calculated at the PBE level.

Cell: 7.4504 7.4504 7.4504 Å, 154.71 152.98 37.35°
Fractional coordinates of all 4 atoms:
Cl 0.5459 0.5459 0.0000
Cu 0.2982 0.7982 0.5000
Sc 0.9386 0.9386 0.0000
Sc 0.7173 0.2173 0.5000

Results
Formation energy (no corrections) in eV per atom: -0.56
SG: Imm2 (44)
Polymorph energy (0 for the lowest one) in meV/atom: 109.2



2.
Below is an optimized crystal structure of CsTlPb, with properties calculated at the PBE level.

Cell: 21.8799 8.6126 8.6126 Å, 149.09 155.50 24.50°
Fractional coordinates of all 6 atoms:
Pb 0.4702 0.8152 0.1848
Pb 0.5592 0.3319 0.6681
Cs 0.0056 0.9394 0.0606
Cs 0.3332 0.2834 0.7166
Tl 0.7816 0.8829 0.1171
Tl 0.8770 0.4045 0.5955

Results
Formation energy in eV per atom: -0.1693
SG: Cm (8)



Number 1: total energy -5.21 eV per atom. Number 2: total energy -2.48 eV per atom.